# TiSbTe2Au GGA-PBE optimized geometry
data_TiSbTe2Au
_cell_length_a 5.4365
_cell_length_b 5.4365
_cell_length_c 5.2396
_cell_angle_alpha 90.00
_cell_angle_beta 90.00
_cell_angle_gamma 90.00
_space_group_name_H-M_alt 'P 4/m m m'
_space_group_IT_number 123
_space_group_name_Hall '-P 4 2'
loop_
_atom_site_label
_atom_site_fract_x
_atom_site_fract_y
_atom_site_fract_z
Ti1 0.0000 0.0000 0.0000
Sb1 0.5000 0.5000 0.0000
Te1 0.0000 0.5000 0.5000
Au1 0.5000 0.5000 0.5000
# energy relative to the elements, uncorrected: 75.1 kJ per mole of atoms
# distance to the lowest polymorph of the same formula: 530 meV/atom
# crystal system: tetragonal
# magnetic moment: 0.04 μB per formula unit